Computed, not measured: a relaxed structure of CsMgCl2 at the PBE level of DFT.

Cell lengths 8.5104, 8.5104, 8.5104 Å; angles 131.46, 131.46, 71.08 degrees
With the nearest neighbours (Å) after each atom.
Element x y z (fractional)
Cs1 0.0000 0.0000 0.0000  4 Cl 3.53
Cs2 0.7500 0.2500 0.5000  4 Cl 3.53
Mg1 0.2500 0.7500 0.5000  4 Cl 2.64
Mg2 0.5000 0.5000 0.0000  4 Cl 2.64
Cl1 0.2377 0.6250 0.1127  2 Mg 2.64
Cl2 0.3750 0.4877 0.6127  2 Mg 2.64
Cl3 0.5123 0.1250 0.8873  2 Mg 2.64
Cl4 0.8750 0.7623 0.3873  2 Mg 2.64

SG: I-42d, No. 122
Formation energy (no corrections) in eV/f.u.: -5.3